Material: TlNiTeRu2
Method: DFT, PBE-GGA
State: optimized geometry

Results
Formation energy without anion corrections = 1.70 eV per atom

Lattice parameters (Å, degrees): 4.8266 5.7424 4.8266 90.00 90.00 90.00
Closest atoms and distances in Å follow each position.
Element x y z (fractional)
Te 0.0000 0.0000 0.0000  4 Ru 2.41
Ru 0.5000 0.0000 0.0000  2 Te 2.41
Ru 0.0000 0.0000 0.5000  2 Te 2.41
Ni 0.5000 0.5000 0.5000  4 Tl 3.41, 8 Ru 3.75
Tl 0.0000 0.5000 0.0000  2 Te 2.87